# 1
Below is CuPb8 after structural relaxation, with properties calculated at the GGA-PBE level.

Computed properties:
* symmetry: I4/mmm, No. 139
* crystal system: tetragonal
* total energy: -32.7 eV for the cell shown
* ΔH_f (0 K): 0.1177 eV per atom

Cell lengths 7.8458, 7.8458, 7.8458 Å; angles 95.39, 95.39, 144.32 degrees
Positions (direct):
1 Cu 0.0000 0.0000 0.0000
2 Pb 0.6581 0.6581 0.3162
3 Pb 0.3419 0.3419 0.6838
4 Pb 0.0000 0.3240 0.3240
5 Pb 0.3419 0.6581 0.0000
6 Pb 0.6760 0.0000 0.6760
7 Pb 0.6581 0.3419 0.0000
8 Pb 0.0000 0.6760 0.6760
9 Pb 0.3240 0.0000 0.3240

# 2
Below is Li2ReAu after structural relaxation, with properties calculated at the GGA-PBE level.

Computed properties:
* symmetry: Imm2, No. 44
* crystal system: orthorhombic
* total energy: -18.4 eV for the cell shown
* ΔH_f (0 K): 0.2976 eV per atom

Cell lengths 5.4533, 5.4533, 5.4533 Å; angles 151.86, 129.80, 58.55 degrees
Each line ends with the local moment (μB).
Positions (direct):
1 Au 0.2402 0.7402 0.5000  0.01
2 Li 0.0042 0.0042 0.0000  0.00
3 Li 0.7587 0.2587 0.5000  0.00
4 Re 0.4969 0.4969 0.0000  0.20

# 3
Below is Ta2Cu2RhS6 after structural relaxation, with properties calculated at the GGA-PBE level.

Computed properties:
* symmetry: C2/m, No. 12
* crystal system: monoclinic
* total energy: -69.7 eV for the cell shown
* formation energy from raw total energies: -0.521 eV/atom

Cell lengths 6.0319, 6.0319, 6.4847 Å; angles 97.63, 97.63, 123.26 degrees
Positions (direct):
1 Ta 0.3652 0.6348 0.5000
2 Ta 0.6348 0.3652 0.5000
3 Cu 0.8193 0.1807 0.0000
4 Cu 0.1807 0.8193 0.0000
5 Rh 0.0000 0.0000 0.5000
6 S 0.7732 0.7732 0.7644
7 S 0.0573 0.4131 0.7317
8 S 0.2268 0.2268 0.2356
9 S 0.4131 0.0573 0.7317
10 S 0.9427 0.5869 0.2683
11 S 0.5869 0.9427 0.2683

# 4
Below is K2NpO6 after structural relaxation, with properties calculated at the GGA-PBE level.

Computed properties:
* symmetry: C2/m, No. 12
* crystal system: monoclinic
* total energy: -61.8 eV for the cell shown
* formation energy from raw total energies: -1.884 eV/atom

Cell lengths 4.9324, 5.9115, 6.9188 Å; angles 115.29, 110.96, 90.00 degrees
Each line ends with the local moment (μB).
Positions (direct):
1 K 0.6699 0.6702 0.3403  0.00
2 K 0.3301 0.3298 0.6597  0.00
3 Np 0.0000 0.0000 0.0000  -0.01
4 O 0.1209 0.3412 0.2418  0.02
5 O 0.8791 0.0994 0.7582  0.02
6 O 0.8791 0.6588 0.7582  0.02
7 O 0.5000 0.1146 0.0000  0.40
8 O 0.1209 0.9006 0.2418  0.02
9 O 0.5000 0.8854 0.0000  0.40

# 5
Below is TaNb2CrN after structural relaxation, with properties calculated at the GGA-PBE level.

Computed properties:
* symmetry: P4/mmm, No. 123
* crystal system: tetragonal
* total energy: -51.9 eV for the cell shown
* formation energy from raw total energies: -0.393 eV/atom

Cell lengths 4.4619, 4.4619, 3.6588 Å; angles 90.00, 90.00, 90.00 degrees
Positions (direct):
1 Cr 0.0000 0.0000 0.5000
2 Nb 0.0000 0.5000 0.0000
3 Nb 0.5000 0.0000 0.0000
4 N 0.0000 0.0000 0.0000
5 Ta 0.5000 0.5000 0.5000

# 6
Below is ThCdH6Ru after structural relaxation, with properties calculated at the GGA-PBE level.

Computed properties:
* symmetry: P3m1, No. 156
* crystal system: trigonal
* total energy: -39.0 eV for the cell shown

Cell lengths 4.7608, 4.7608, 4.4679 Å; angles 90.00, 90.00, 60.00 degrees
Positions (direct):
1 Th 0.0000 0.0000 0.9994
2 Cd 0.6666 0.6667 0.4988
3 H 0.0496 0.4752 0.2093
4 H 0.4757 0.0486 0.7911
5 H 0.4757 0.4757 0.7911
6 H 0.0485 0.4757 0.7911
7 H 0.4752 0.4752 0.2093
8 H 0.4752 0.0496 0.2093
9 Ru 0.3333 0.3333 0.5007

# 7
Below is Nd2Zn3Ni after structural relaxation, with properties calculated at the GGA-PBE level.

Computed properties:
* symmetry: Pmm2, No. 25
* crystal system: orthorhombic
* total energy: -21.2 eV for the cell shown
* ΔH_f (0 K): -0.3436 eV per atom

Cell lengths 3.7234, 4.4376, 7.6857 Å; angles 90.00, 90.00, 90.00 degrees
Positions (direct):
1 Nd 0.0000 0.5000 0.0254
2 Nd 0.0000 0.0000 0.4825
3 Zn 0.5000 0.0000 0.8310
4 Zn 0.5000 0.0000 0.1682
5 Zn 0.5000 0.5000 0.6620
6 Ni 0.5000 0.5000 0.3309

# 8
Below is BaNa3Pb after structural relaxation, with properties calculated at the GGA-PBE level.

Computed properties:
* symmetry: Pnma, No. 62
* crystal system: orthorhombic
* total energy: -42.0 eV for the cell shown
* ΔH_f (0 K): -0.1817 eV per atom

Cell lengths 5.8830, 12.2144, 10.5311 Å; angles 90.00, 90.00, 90.00 degrees
Positions (direct):
1 Ba 0.7500 0.7626 0.9920
2 Ba 0.2500 0.7374 0.4920
3 Ba 0.7500 0.2626 0.5080
4 Ba 0.2500 0.2374 0.0080
5 Na 0.2500 0.5498 0.1030
6 Na 0.7500 0.4502 0.8970
7 Na 0.2500 0.0498 0.3970
8 Na 0.7500 0.9502 0.6030
9 Na 0.2500 0.4414 0.6751
10 Na 0.7500 0.0586 0.1751
11 Na 0.2500 0.9414 0.8249
12 Na 0.7500 0.6288 0.6628
13 Na 0.2500 0.3712 0.3372
14 Na 0.7500 0.1288 0.8372
15 Na 0.7500 0.5586 0.3249
16 Na 0.2500 0.8712 0.1628
17 Pb 0.2500 0.1694 0.6688
18 Pb 0.2500 0.6694 0.8312
19 Pb 0.7500 0.3306 0.1688
20 Pb 0.7500 0.8306 0.3312

Which of these has the highest total energy?
Li2ReAu

total energy of number 6 (ThCdH6Ru)?
-39.0 eV for the cell shown